# AcAs12Rh4

A relaxed structure of AcAs12Rh4 (GGA-PBE, Alexandria).

a = 7.5392 Å, b = 7.5392 Å, c = 7.5392 Å
α = 109.47°, β = 109.47°, γ = 109.47°
Fractional coordinates of all 17 atoms:
Ac  0.0000  0.0000  0.0000
As  0.1486  0.3495  0.4980
As  0.1486  0.6505  0.7991
As  0.2009  0.8514  0.3495
As  0.3495  0.2009  0.8514
As  0.3495  0.4980  0.1486
As  0.4980  0.1486  0.3495
As  0.5020  0.8514  0.6505
As  0.6505  0.5020  0.8514
As  0.6505  0.7991  0.1486
As  0.7991  0.1486  0.6505
As  0.8514  0.3495  0.2009
As  0.8514  0.6505  0.5020
Rh  0.0000  0.0000  0.5000
Rh  0.0000  0.5000  0.0000
Rh  0.5000  0.0000  0.0000
Rh  0.5000  0.5000  0.5000

Results
- DFT formation energy (eV per formula unit) = -8.749
- mass density (g cm⁻³) = 7.74



# V2Cr4Re

A relaxed structure of V2Cr4Re (GGA-PBE, Alexandria).

a = 4.8086 Å, b = 6.5515 Å, c = 6.6004 Å
α = 60.35°, β = 89.87°, γ = 86.30°
Fractional coordinates of all 14 atoms:
V  0.0000  0.0000  0.0000
V  0.0602  0.2258  0.5406
V  0.5028  0.0002  0.0050
V  0.8086  0.5560  0.1075
Cr  0.1436  0.4575  0.7680
Cr  0.3034  0.7498  0.8631
Cr  0.3068  0.6060  0.2923
Cr  0.3175  0.3173  0.1443
Cr  0.6444  0.4486  0.7850
Cr  0.8062  0.1258  0.2510
Cr  0.8153  0.8341  0.6865
Cr  0.8223  0.6883  0.3957
Re  0.3124  0.8885  0.4387
Re  0.5611  0.2260  0.5496

Results
- DFT formation energy (eV per formula unit) = 0.581
- mass density (g cm⁻³) = 9.14



# LiHf2Ag2Te6

A relaxed structure of LiHf2Ag2Te6 (GGA-PBE, Alexandria).

a = 7.1535 Å, b = 7.1535 Å, c = 7.6145 Å
α = 99.96°, β = 99.96°, γ = 120.54°
Fractional coordinates of all 11 atoms:
Li  0.0000  0.0000  0.0000
Hf  0.3345  0.6655  0.0000
Hf  0.6655  0.3345  0.0000
Ag  0.1741  0.8259  0.5000
Ag  0.8259  0.1741  0.5000
Te  0.0853  0.4254  0.2367
Te  0.2506  0.2506  0.7614
Te  0.4254  0.0853  0.2367
Te  0.5746  0.9147  0.7633
Te  0.7494  0.7494  0.2386
Te  0.9147  0.5746  0.7633

Results
- energy relative to the elements, uncorrected (eV/atom) = -0.4960
- mass density (g cm⁻³) = 7.10



# Li2Dy3Mg9

A relaxed structure of Li2Dy3Mg9 (GGA-PBE, Alexandria).

a = 8.6624 Å, b = 8.6624 Å, c = 8.6624 Å
α = 146.34°, β = 98.57°, γ = 91.07°
Fractional coordinates of all 14 atoms:
Li  0.1545  0.0000  0.1545
Li  0.8455  0.0000  0.8455
Dy  0.2195  0.2195  0.0000
Dy  0.5000  0.5000  0.0000
Dy  0.7805  0.7805  0.0000
Mg  0.0000  0.5000  0.5000
Mg  0.0909  0.3614  0.7295
Mg  0.2383  0.8674  0.3709
Mg  0.3680  0.6386  0.7295
Mg  0.4965  0.8674  0.6291
Mg  0.5035  0.1326  0.3709
Mg  0.6320  0.3614  0.2705
Mg  0.7617  0.1326  0.6291
Mg  0.9091  0.6386  0.2705

Results
- DFT formation energy (eV per formula unit) = -0.048
- mass density (g cm⁻³) = 3.48



# CoAs2Pt

A relaxed structure of CoAs2Pt (GGA-PBE, Alexandria).

a = 3.7325 Å, b = 3.7325 Å, c = 5.2478 Å
α = 90.00°, β = 90.00°, γ = 120.00°
Fractional coordinates of all 4 atoms:
Co  0.0000  0.0000  0.0000
As  0.3333  0.6667  0.7841
As  0.6667  0.3333  0.2159
Pt  0.0000  0.0000  0.5000

Results
- DFT formation energy (eV per formula unit) = -1.062
- mass density (g cm⁻³) = 10.59



- Among the records above, which one has the lowest mass density?
  Li2Dy3Mg9



- Number 5 is which compound?
  CoAs2Pt



- What is the formula in the fourth record?
  Li2Dy3Mg9



- Which formula does entry 2 have?
  V2Cr4Re